# AcAgPb, optimized geometry, DFT PBE
# total energy	-3.9553	eV per atom
# formation energy	-1.20	eV per formula unit
# excess energy over the best structure of this formula in the dataset	0.049	eV/atom
data_AcAgPb
_cell_length_a 4.9878
_cell_length_b 4.9878
_cell_length_c 4.2459
_cell_angle_alpha 90.00
_cell_angle_beta 90.00
_cell_angle_gamma 120.00
_symmetry_space_group_name_H-M 'P 3 m 1'
_symmetry_Int_Tables_number 156
loop_
_symmetry_equiv_pos_as_xyz
'x,y,z'
'-y,x-y,z'
'-x+y,-x,z'
'-y,-x,z'
'-x+y,y,z'
'x,x-y,z'
loop_
_atom_site_label
_atom_site_type_symbol
_atom_site_fract_x
_atom_site_fract_y
_atom_site_fract_z
Ac1 Ac 0.0000 0.0000 0.0000
Ag1 Ag 0.3333 0.6667 0.4939
Pb1 Pb 0.6667 0.3333 0.5079

# AcAgPb, optimized geometry, DFT PBE
# total energy	-3.6797	eV per atom
# formation energy	-0.37	eV per formula unit
# excess energy over the best structure of this formula in the dataset	0.324	eV/atom
data_AcAgPb
_cell_length_a 4.0749
_cell_length_b 4.6202
_cell_length_c 5.3722
_cell_angle_alpha 90.00
_cell_angle_beta 90.00
_cell_angle_gamma 90.00
_symmetry_space_group_name_H-M 'P m m m'
_symmetry_Int_Tables_number 47
loop_
_symmetry_equiv_pos_as_xyz
'x,y,z'
'-x,-y,-z'
'-x,-y,z'
'x,y,-z'
'x,-y,-z'
'-x,y,z'
'-x,y,-z'
'x,-y,z'
loop_
_atom_site_label
_atom_site_type_symbol
_atom_site_fract_x
_atom_site_fract_y
_atom_site_fract_z
Ac1 Ac 0.0000 0.0000 0.0000
Ag1 Ag 0.5000 0.0000 0.5000
Pb1 Pb 0.0000 0.5000 0.5000

# AcAg2Pb2, optimized geometry, DFT PBE
# total energy	-3.6866	eV per atom
# formation energy	-1.21	eV per formula unit
# excess energy over the best structure of this formula in the dataset	0.010	eV/atom
data_AcAg2Pb2
_cell_length_a 6.6427
_cell_length_b 6.6417
_cell_length_c 7.1985
_cell_angle_alpha 90.00
_cell_angle_beta 117.30
_cell_angle_gamma 90.00
_symmetry_space_group_name_H-M 'C 1 2/m 1'
_symmetry_Int_Tables_number 12
loop_
_symmetry_equiv_pos_as_xyz
'x,y,z'
'-x,-y,-z'
'-x,y,-z'
'x,-y,z'
'x+1/2,y+1/2,z'
'-x+1/2,-y+1/2,-z'
'-x+1/2,y+1/2,-z'
'x+1/2,-y+1/2,z'
loop_
_atom_site_label
_atom_site_type_symbol
_atom_site_fract_x
_atom_site_fract_y
_atom_site_fract_z
Ac1 Ac 0.0000 0.0000 0.0000
Ag1 Ag 0.1038 0.5000 0.2085
Pb1 Pb 0.0000 0.2493 0.5000

# AcAg3Pb, optimized geometry, DFT PBE
# total energy	-3.4261	eV per atom
# formation energy	-0.76	eV per formula unit
data_AcAg3Pb
_cell_length_a 3.9419
_cell_length_b 28.2178
_cell_length_c 4.7373
_cell_angle_alpha 90.00
_cell_angle_beta 90.00
_cell_angle_gamma 90.00
_symmetry_space_group_name_H-M 'C m c m'
_symmetry_Int_Tables_number 63
_symmetry_space_group_name_Hall '-C 2c 2'
loop_
_atom_site_label
_atom_site_type_symbol
_atom_site_fract_x
_atom_site_fract_y
_atom_site_fract_z
Ac1 Ac 0.0000 0.0776 0.2500
Ag1 Ag 0.0000 0.3175 0.7500
Ag2 Ag 0.0000 0.3733 0.2500
Ag3 Ag 0.0000 0.4732 0.2500
Pb1 Pb 0.0000 0.2110 0.7500

# Ac2Ag6Pb, optimized geometry, DFT PBE
# total energy	-3.4344	eV per atom
# formation energy	-1.88	eV per formula unit
data_Ac2Ag6Pb
_cell_length_a 6.3911
_cell_length_b 6.3911
_cell_length_c 6.3509
_cell_angle_alpha 90.00
_cell_angle_beta 90.00
_cell_angle_gamma 120.00
_symmetry_space_group_name_H-M 'P -3 m 1'
_symmetry_Int_Tables_number 164
_symmetry_space_group_name_Hall '-P 3 2"'
loop_
_atom_site_label
_atom_site_type_symbol
_atom_site_fract_x
_atom_site_fract_y
_atom_site_fract_z
Ac1 Ac 0.3333 0.6667 0.1614
Ag1 Ag 0.1845 0.3690 0.6558
Pb1 Pb 0.0000 0.0000 0.0000

# AcAg2Pb2, optimized geometry, DFT PBE
# total energy	-3.6962	eV per atom
# formation energy	-1.25	eV per formula unit
# excess energy over the best structure of this formula in the dataset	0.000	eV/atom
data_AcAg2Pb2
_cell_length_a 4.8596
_cell_length_b 4.8596
_cell_length_c 11.8574
_cell_angle_alpha 90.00
_cell_angle_beta 90.00
_cell_angle_gamma 90.00
_symmetry_space_group_name_H-M 'P 4/n m m'
_symmetry_Int_Tables_number 129
loop_
_symmetry_equiv_pos_as_xyz
'x,y,z'
'-x,-y,-z'
'-y+1/2,x,z'
'y+1/2,-x,-z'
'-x+1/2,-y+1/2,z'
'x+1/2,y+1/2,-z'
'y,-x+1/2,z'
'-y,x+1/2,-z'
'x+1/2,-y,-z'
'-x+1/2,y,z'
'-y,-x,-z'
'y,x,z'
'-x,y+1/2,-z'
'x,-y+1/2,z'
'y+1/2,x+1/2,-z'
'-y+1/2,-x+1/2,z'
loop_
_atom_site_label
_atom_site_type_symbol
_atom_site_fract_x
_atom_site_fract_y
_atom_site_fract_z
Ac1 Ac 0.2500 0.2500 0.2380
Ag1 Ag 0.2500 0.2500 0.6384
Ag2 Ag 0.2500 0.7500 0.0000
Pb1 Pb 0.2500 0.2500 0.8702
Pb2 Pb 0.2500 0.7500 0.5000

# Ac3Ag4Pb4, optimized geometry, DFT PBE
# total energy	-3.8193	eV per atom
# formation energy	-3.45	eV per formula unit
# excess energy over the best structure of this formula in the dataset	0.075	eV/atom
data_Ac3Ag4Pb4
_cell_length_a 4.3875
_cell_length_b 4.9320
_cell_length_c 30.0589
_cell_angle_alpha 90.00
_cell_angle_beta 90.00
_cell_angle_gamma 90.00
_symmetry_space_group_name_H-M 'I m m m'
_symmetry_Int_Tables_number 71
_symmetry_space_group_name_Hall '-I 2 2'
loop_
_atom_site_label
_atom_site_type_symbol
_atom_site_fract_x
_atom_site_fract_y
_atom_site_fract_z
Ac1 Ac 0.0000 0.0000 0.0000
Ac2 Ac 0.0000 0.5000 0.1441
Ag1 Ag 0.0000 0.0000 0.4544
Ag2 Ag 0.0000 0.5000 0.3121
Pb1 Pb 0.0000 0.0000 0.2553
Pb2 Pb 0.0000 0.5000 0.4055

# AcAgPb2, optimized geometry, DFT PBE
# total energy	-3.8981	eV per atom
# formation energy	-1.22	eV per formula unit
# excess energy over the best structure of this formula in the dataset	0.000	eV/atom
data_AcAgPb2
_cell_length_a 4.8184
_cell_length_b 19.3206
_cell_length_c 10.5148
_cell_angle_alpha 90.00
_cell_angle_beta 90.00
_cell_angle_gamma 90.00
_symmetry_space_group_name_H-M 'C m c m'
_symmetry_Int_Tables_number 63
_symmetry_space_group_name_Hall '-C 2c 2'
loop_
_atom_site_label
_atom_site_type_symbol
_atom_site_fract_x
_atom_site_fract_y
_atom_site_fract_z
Ac1 Ac 0.0000 0.0000 0.0000
Ac2 Ac 0.0000 0.1932 0.2500
Ag1 Ag 0.0000 0.3602 0.5230
Pb1 Pb 0.0000 0.2000 0.5914
Pb2 Pb 0.0000 0.4011 0.2500
Pb3 Pb 0.0000 0.4420 0.7500